1.
{"formula": "PmSm2Th3Te6", "functional": "GGA-PBE", "state": "relaxed", "lattice_angstrom": [[9.961, -2.187, 0.000], [9.961, 2.187, 0.000], [-2.929, 0.000, 8.614]], "species": ["Pm", "Sm", "Sm", "Th", "Th", "Th", "Te", "Te", "Te", "Te", "Te", "Te"], "frac_coords": [[0.000, 0.000, 0.000], [0.333, 0.333, 0.668], [0.667, 0.667, 0.332], [0.000, 0.000, 0.500], [0.334, 0.334, 0.169], [0.666, 0.666, 0.831], [0.166, 0.166, 0.086], [0.168, 0.168, 0.578], [0.498, 0.498, 0.752], [0.502, 0.502, 0.248], [0.832, 0.832, 0.422], [0.834, 0.834, 0.914]], "e_tot_ev_per_atom": -5.80, "raw_formation_energy_ev_per_atom": -1.19}

2.
{"formula": "Li3Pr2CuGe4", "functional": "GGA-PBE", "state": "relaxed", "lattice_angstrom": [[4.283, 0.000, 0.000], [0.000, 4.283, 0.000], [0.000, 0.000, 10.139]], "species": ["Li", "Li", "Li", "Pr", "Pr", "Cu", "Ge", "Ge", "Ge", "Ge"], "frac_coords": [[0.000, 0.000, 0.000], [0.000, 0.500, 0.634], [0.500, 0.000, 0.366], [0.000, 0.500, 0.246], [0.500, 0.000, 0.754], [0.500, 0.500, 0.000], [0.000, 0.000, 0.500], [0.000, 0.500, 0.876], [0.500, 0.000, 0.124], [0.500, 0.500, 0.500]], "e_form_ev_per_atom": -0.536, "e_tot_ev_per_atom": -4.32}

Q: What is the formula in the second record?
A: Li3Pr2CuGe4